This record from the Alexandria database describes a relaxed structure of Ta2TlAg. The functional is GGA-PBE.

Cell and atoms, written as extended XYZ:
```
4
Lattice="3.655 0.000 0.000 0.000 3.655 0.000 0.000 0.000 5.749" Properties=species:S:1:pos:R:3 pbc="T T T"
Ta 0.000 0.000 2.877
Ta 0.000 0.000 5.746
Tl 1.827 1.827 1.437
Ag 1.827 1.827 4.312
```

Calculated values
DFT formation energy = 0.66 eV per atom
Crystal system = tetragonal